## P
Below is a relaxed NaHg3GeSe4 crystal, with properties calculated at the PBE level.

SG: P2_1/m (11)

The structure in CIF format:
```
data_NaHg3GeSe4
_chemical_formula_sum 'Na2 Hg6 Ge2 Se8'
_symmetry_space_group_name_H-M 'P 1'
_symmetry_Int_Tables_number 1
_cell_length_a 7.266
_cell_length_b 7.217
_cell_length_c 11.079
_cell_angle_alpha 90.00
_cell_angle_beta 101.91
_cell_angle_gamma 90.00
loop_
_symmetry_equiv_pos_as_xyz
'x,y,z'
loop_
_atom_site_label
_atom_site_type_symbol
_atom_site_fract_x
_atom_site_fract_y
_atom_site_fract_z
Na1 Na 0.064 0.250 0.147
Na2 Na 0.936 0.750 0.853
Hg1 Hg 0.268 0.553 0.518
Hg2 Hg 0.268 0.947 0.518
Hg3 Hg 0.500 0.250 0.817
Hg4 Hg 0.500 0.750 0.183
Hg5 Hg 0.732 0.053 0.482
Hg6 Hg 0.732 0.447 0.482
Ge1 Ge 0.000 0.250 0.703
Ge2 Ge 0.000 0.750 0.297
Se1 Se 0.143 0.750 0.111
Se2 Se 0.231 0.512 0.761
Se3 Se 0.231 0.988 0.761
Se4 Se 0.313 0.250 0.393
Se5 Se 0.687 0.750 0.607
Se6 Se 0.769 0.012 0.239
Se7 Se 0.769 0.488 0.239
Se8 Se 0.857 0.250 0.889
```

***

## Q
Below is a relaxed NaHg3GeSe4 crystal, with properties calculated at the PBE level.

SG: P-43m (215)

The structure in CIF format:
```
data_NaHg3GeSe4
_chemical_formula_sum 'Na1 Hg3 Ge1 Se4'
_symmetry_space_group_name_H-M 'P 1'
_symmetry_Int_Tables_number 1
_cell_length_a 6.619
_cell_length_b 6.619
_cell_length_c 6.619
_cell_angle_alpha 90.00
_cell_angle_beta 90.00
_cell_angle_gamma 90.00
loop_
_symmetry_equiv_pos_as_xyz
'x,y,z'
loop_
_atom_site_label
_atom_site_type_symbol
_atom_site_fract_x
_atom_site_fract_y
_atom_site_fract_z
Na1 Na 0.000 0.000 0.000
Hg1 Hg 0.000 0.500 0.500
Hg2 Hg 0.500 0.000 0.500
Hg3 Hg 0.500 0.500 0.000
Ge1 Ge 0.500 0.500 0.500
Se1 Se 0.261 0.261 0.261
Se2 Se 0.261 0.739 0.739
Se3 Se 0.739 0.261 0.739
Se4 Se 0.739 0.739 0.261
```

***

Which one sits at the bottom of the stability order? Q does.

***

## P
Below is a relaxed NiHgGeS3 crystal, with properties calculated at the PBE level.

SG: Cmcm (63)
Total magnetization, Bohr magnetons per cell: 1.1

The structure in CIF format:
```
data_NiHgGeS3
_chemical_formula_sum 'Ni2 Hg2 Ge2 S6'
_symmetry_space_group_name_H-M 'P 1'
_symmetry_Int_Tables_number 1
_cell_length_a 6.719
_cell_length_b 6.719
_cell_length_c 10.531
_cell_angle_alpha 90.00
_cell_angle_beta 90.00
_cell_angle_gamma 149.92
loop_
_symmetry_equiv_pos_as_xyz
'x,y,z'
loop_
_atom_site_label
_atom_site_type_symbol
_atom_site_fract_x
_atom_site_fract_y
_atom_site_fract_z
Ni1 Ni 0.042 0.958 0.750
Ni2 Ni 0.958 0.042 0.250
Hg1 Hg 0.500 0.500 0.000
Hg2 Hg 0.500 0.500 0.500
Ge1 Ge 0.267 0.733 0.250
Ge2 Ge 0.733 0.267 0.750
S1 S 0.165 0.835 0.596
S2 S 0.165 0.835 0.904
S3 S 0.439 0.561 0.750
S4 S 0.561 0.439 0.250
S5 S 0.835 0.165 0.096
S6 S 0.835 0.165 0.404
```

***

## Q
Below is a relaxed NiHgGeS3 crystal, with properties calculated at the PBE level.

SG: Cmcm (63)
Total magnetization, Bohr magnetons per cell: 0.0

The structure in CIF format:
```
data_NiHgGeS3
_chemical_formula_sum 'Ni2 Hg2 Ge2 S6'
_symmetry_space_group_name_H-M 'P 1'
_symmetry_Int_Tables_number 1
_cell_length_a 7.496
_cell_length_b 7.496
_cell_length_c 9.544
_cell_angle_alpha 90.00
_cell_angle_beta 90.00
_cell_angle_gamma 153.32
loop_
_symmetry_equiv_pos_as_xyz
'x,y,z'
loop_
_atom_site_label
_atom_site_type_symbol
_atom_site_fract_x
_atom_site_fract_y
_atom_site_fract_z
Ni1 Ni 0.000 0.000 0.000
Ni2 Ni 0.000 0.000 0.500
Hg1 Hg 0.293 0.707 0.750
Hg2 Hg 0.707 0.293 0.250
Ge1 Ge 0.362 0.638 0.250
Ge2 Ge 0.638 0.362 0.750
S1 S 0.024 0.976 0.750
S2 S 0.399 0.601 0.514
S3 S 0.399 0.601 0.986
S4 S 0.601 0.399 0.014
S5 S 0.601 0.399 0.486
S6 S 0.976 0.024 0.250
```

***

Which one sits at the bottom of the stability order? P does.